# MgTeRh PBE relaxed
# Total DFT energy (no corrections) in eV per atom: -4.3286
data_MgTeRh
_symmetry_space_group_name_H-M 'P 1'
_symmetry_Int_Tables_number 1
_cell_length_a 4.456
_cell_length_b 4.456
_cell_length_c 3.548
_cell_angle_alpha 90.00
_cell_angle_beta 90.00
_cell_angle_gamma 120.00
loop_
_symmetry_equiv_pos_as_xyz
'x,y,z'
loop_
_atom_site_label
_atom_site_type_symbol
_atom_site_fract_x
_atom_site_fract_y
_atom_site_fract_z
_atom_site_occupancy
Mg1 Mg 0.000 0.000 0.000 1
Rh1 Rh 0.667 0.333 0.499 1
Te1 Te 0.333 0.667 0.500 1

# Mg2TeRh PBE relaxed
# Total DFT energy (no corrections) in eV per atom: -3.6000
data_Mg2TeRh
_symmetry_space_group_name_H-M 'P 1'
_symmetry_Int_Tables_number 1
_cell_length_a 8.940
_cell_length_b 8.940
_cell_length_c 8.940
_cell_angle_alpha 21.38
_cell_angle_beta 21.38
_cell_angle_gamma 21.38
loop_
_symmetry_equiv_pos_as_xyz
'x,y,z'
loop_
_atom_site_label
_atom_site_type_symbol
_atom_site_fract_x
_atom_site_fract_y
_atom_site_fract_z
_atom_site_occupancy
Mg1 Mg 0.986 0.986 0.986 1
Mg2 Mg 0.514 0.514 0.514 1
Rh1 Rh 0.250 0.250 0.250 1
Te1 Te 0.750 0.750 0.750 1

# Mg2TeRh PBE relaxed
# Total DFT energy (no corrections) in eV per atom: -3.6927
data_Mg2TeRh
_symmetry_space_group_name_H-M 'P 1'
_symmetry_Int_Tables_number 1
_cell_length_a 5.368
_cell_length_b 5.368
_cell_length_c 5.368
_cell_angle_alpha 134.71
_cell_angle_beta 134.71
_cell_angle_gamma 65.98
loop_
_symmetry_equiv_pos_as_xyz
'x,y,z'
loop_
_atom_site_label
_atom_site_type_symbol
_atom_site_fract_x
_atom_site_fract_y
_atom_site_fract_z
_atom_site_occupancy
Mg1 Mg 0.000 0.000 0.000 1
Mg2 Mg 0.250 0.750 0.500 1
Rh1 Rh 0.500 0.500 0.000 1
Te1 Te 0.750 0.250 0.500 1

# MgTe2Rh PBE relaxed
# Total DFT energy (no corrections) in eV per atom: -4.0191
data_MgTe2Rh
_symmetry_space_group_name_H-M 'P 1'
_symmetry_Int_Tables_number 1
_cell_length_a 8.617
_cell_length_b 8.617
_cell_length_c 8.617
_cell_angle_alpha 27.04
_cell_angle_beta 27.04
_cell_angle_gamma 27.04
loop_
_symmetry_equiv_pos_as_xyz
'x,y,z'
loop_
_atom_site_label
_atom_site_type_symbol
_atom_site_fract_x
_atom_site_fract_y
_atom_site_fract_z
_atom_site_occupancy
Mg1 Mg 0.000 0.000 0.000 1
Te1 Te 0.887 0.887 0.887 1
Te2 Te 0.113 0.113 0.113 1
Rh1 Rh 0.500 0.500 0.500 1

# MgTeRh PBE relaxed
# Total DFT energy (no corrections) in eV per atom: -4.5578
data_MgTeRh
_symmetry_space_group_name_H-M 'P 1'
_symmetry_Int_Tables_number 1
_cell_length_a 4.369
_cell_length_b 6.287
_cell_length_c 9.116
_cell_angle_alpha 90.00
_cell_angle_beta 90.00
_cell_angle_gamma 90.00
loop_
_symmetry_equiv_pos_as_xyz
'x,y,z'
loop_
_atom_site_label
_atom_site_type_symbol
_atom_site_fract_x
_atom_site_fract_y
_atom_site_fract_z
_atom_site_occupancy
Rh1 Rh 0.750 0.034 0.398 1
Rh2 Rh 0.250 0.534 0.102 1
Rh3 Rh 0.750 0.466 0.898 1
Rh4 Rh 0.250 0.966 0.602 1
Te1 Te 0.750 0.772 0.129 1
Te2 Te 0.250 0.228 0.871 1
Te3 Te 0.750 0.728 0.629 1
Te4 Te 0.250 0.272 0.371 1
Mg1 Mg 0.750 0.255 0.640 1
Mg2 Mg 0.750 0.245 0.140 1
Mg3 Mg 0.250 0.745 0.360 1
Mg4 Mg 0.250 0.755 0.860 1

# MgTe4Rh PBE relaxed
# Total DFT energy (no corrections) in eV per atom: -2.8656
data_MgTe4Rh
_symmetry_space_group_name_H-M 'P 1'
_symmetry_Int_Tables_number 1
_cell_length_a 6.226
_cell_length_b 6.226
_cell_length_c 6.226
_cell_angle_alpha 60.00
_cell_angle_beta 60.00
_cell_angle_gamma 60.00
loop_
_symmetry_equiv_pos_as_xyz
'x,y,z'
loop_
_atom_site_label
_atom_site_type_symbol
_atom_site_fract_x
_atom_site_fract_y
_atom_site_fract_z
_atom_site_occupancy
Mg1 Mg 0.750 0.750 0.750 1
Te1 Te 0.877 0.374 0.374 1
Te2 Te 0.374 0.374 0.877 1
Te3 Te 0.374 0.877 0.374 1
Te4 Te 0.374 0.374 0.374 1
Rh1 Rh 0.000 0.000 0.000 1

# MgTeRh PBE relaxed
# Total DFT energy (no corrections) in eV per atom: -4.2861
data_MgTeRh
_symmetry_space_group_name_H-M 'P 1'
_symmetry_Int_Tables_number 1
_cell_length_a 6.379
_cell_length_b 6.378
_cell_length_c 3.201
_cell_angle_alpha 75.47
_cell_angle_beta 75.46
_cell_angle_gamma 29.06
loop_
_symmetry_equiv_pos_as_xyz
'x,y,z'
loop_
_atom_site_label
_atom_site_type_symbol
_atom_site_fract_x
_atom_site_fract_y
_atom_site_fract_z
_atom_site_occupancy
Mg1 Mg 0.971 0.971 0.029 1
Rh1 Rh 0.333 0.333 0.667 1
Te1 Te 0.696 0.696 0.304 1

# MgTeRh2 PBE relaxed
# Distance to the lowest polymorph of the same formula in meV per atom: 48
data_MgTeRh2
_symmetry_space_group_name_H-M 'P 1'
_symmetry_Int_Tables_number 1
_cell_length_a 4.541
_cell_length_b 4.541
_cell_length_c 4.541
_cell_angle_alpha 60.00
_cell_angle_beta 60.00
_cell_angle_gamma 60.00
loop_
_symmetry_equiv_pos_as_xyz
'x,y,z'
loop_
_atom_site_label
_atom_site_type_symbol
_atom_site_fract_x
_atom_site_fract_y
_atom_site_fract_z
_atom_site_occupancy
Mg1 Mg 0.000 0.000 0.000 1
Te1 Te 0.500 0.500 0.500 1
Rh1 Rh 0.250 0.250 0.250 1
Rh2 Rh 0.750 0.750 0.750 1

# Mg2TeRh PBE relaxed
# Total DFT energy (no corrections) in eV per atom: -3.8762
data_Mg2TeRh
_symmetry_space_group_name_H-M 'P 1'
_symmetry_Int_Tables_number 1
_cell_length_a 4.084
_cell_length_b 6.651
_cell_length_c 6.205
_cell_angle_alpha 90.00
_cell_angle_beta 90.00
_cell_angle_gamma 90.00
loop_
_symmetry_equiv_pos_as_xyz
'x,y,z'
loop_
_atom_site_label
_atom_site_type_symbol
_atom_site_fract_x
_atom_site_fract_y
_atom_site_fract_z
_atom_site_occupancy
Mg1 Mg 0.000 0.110 0.190 1
Mg2 Mg 0.000 0.890 0.690 1
Mg3 Mg 0.000 0.574 0.011 1
Mg4 Mg 0.000 0.426 0.511 1
Te1 Te 0.500 0.796 0.346 1
Te2 Te 0.500 0.204 0.846 1
Rh1 Rh 0.500 0.411 0.215 1
Rh2 Rh 0.500 0.589 0.715 1

# MgTeRh PBE relaxed
# Total DFT energy (no corrections) in eV per atom: -4.2496
data_MgTeRh
_symmetry_space_group_name_H-M 'P 1'
_symmetry_Int_Tables_number 1
_cell_length_a 3.429
_cell_length_b 3.429
_cell_length_c 6.233
_cell_angle_alpha 90.00
_cell_angle_beta 90.00
_cell_angle_gamma 120.00
loop_
_symmetry_equiv_pos_as_xyz
'x,y,z'
loop_
_atom_site_label
_atom_site_type_symbol
_atom_site_fract_x
_atom_site_fract_y
_atom_site_fract_z
_atom_site_occupancy
Mg1 Mg 0.000 0.000 0.035 1
Rh1 Rh 0.333 0.667 0.343 1
Te1 Te 0.667 0.333 0.621 1

# Mg2VTeRh PBE relaxed
# Total DFT energy (no corrections) in eV per atom: -4.4606
data_Mg2VTeRh
_symmetry_space_group_name_H-M 'P 1'
_symmetry_Int_Tables_number 1
_cell_length_a 4.982
_cell_length_b 4.635
_cell_length_c 4.982
_cell_angle_alpha 90.00
_cell_angle_beta 90.00
_cell_angle_gamma 90.00
loop_
_symmetry_equiv_pos_as_xyz
'x,y,z'
loop_
_atom_site_label
_atom_site_type_symbol
_atom_site_fract_x
_atom_site_fract_y
_atom_site_fract_z
_atom_site_occupancy
Mg1 Mg 0.000 0.000 0.500 1
Mg2 Mg 0.500 0.000 0.000 1
Te1 Te 0.500 0.500 0.500 1
Rh1 Rh 0.000 0.000 0.000 1
V1 V 0.000 0.500 0.000 1

# ThMg3Rh2 PBE relaxed
# Formation enthalpy at 0 K in eV/f.u.: -3.1
data_ThMg3Rh2
_symmetry_space_group_name_H-M 'P 1'
_symmetry_Int_Tables_number 1
_cell_length_a 3.865
_cell_length_b 8.342
_cell_length_c 9.022
_cell_angle_alpha 63.45
_cell_angle_beta 77.63
_cell_angle_gamma 76.61
loop_
_symmetry_equiv_pos_as_xyz
'x,y,z'
loop_
_atom_site_label
_atom_site_type_symbol
_atom_site_fract_x
_atom_site_fract_y
_atom_site_fract_z
_atom_site_occupancy
Th1 Th 0.867 0.084 0.183 1
Th2 Th 0.133 0.916 0.817 1
Mg1 Mg 0.322 0.453 0.904 1
Mg2 Mg 0.962 0.389 0.687 1
Mg3 Mg 0.632 0.241 0.494 1
Mg4 Mg 0.368 0.759 0.506 1
Mg5 Mg 0.038 0.611 0.313 1
Mg6 Mg 0.678 0.547 0.096 1
Rh1 Rh 0.506 0.145 0.844 1
Rh2 Rh 0.494 0.855 0.156 1
Rh3 Rh 0.774 0.707 0.745 1
Rh4 Rh 0.226 0.293 0.255 1